Computed, not measured: a relaxed DyYWO6 crystal at the PBE+U level of DFT.

```
data_DyYWO6
_space_group_name_H-M_alt 'P -3 1 c'
_space_group_IT_number 163
_space_group_name_Hall '-P 3 2c'
_cell_length_a 5.5426
_cell_length_b 5.5426
_cell_length_c 9.4731
_cell_angle_alpha 90.00
_cell_angle_beta 90.00
_cell_angle_gamma 120.00
loop_
_atom_site_label
_atom_site_type_symbol
_atom_site_fract_x
_atom_site_fract_y
_atom_site_fract_z
Dy1 Dy 0.3333 0.6667 0.2500
Y1 Y 0.0000 0.0000 0.0000
W1 W 0.3333 0.6667 0.7500
O1 O 0.0419 0.3697 0.6352
```

Computed properties:
Total energy = -148.30 eV per cell
Spin magnetization = 0.0000 μB/atom